The following is a GGA+U calculation of crystalline LaCrI2O at its relaxed geometry, from Alexandria via LeMat-Bulk.

a b c (Å): 5.7322 5.7322 3.8918
angles (deg): 90.00 90.00 90.00
Closest atoms and distances in Å follow each position.
Fractional coordinates of all 5 atoms:
1 La 0.0000 0.0000 0.0000  8 I 3.46
2 Cr 0.5000 0.5000 0.5000  2 O 1.95
3 I 0.0000 0.5000 0.5000  2 Cr 2.87
4 I 0.5000 0.0000 0.5000  2 Cr 2.87
5 O 0.5000 0.5000 0.0000  2 Cr 1.95

Properties
- SG = P4/mmm (123)
- offset from the most stable computed form (eV per atom) = 0.238